# 1
Here is a relaxed structure of NbHRu3 from the Alexandria database. Energies are from PBE.

The structure in POSCAR format:
```
NbHRu3
1.0
3.551 -5.599 3.051
-0.307 -1.017 7.221
-3.741 -5.638 2.736
Nb Ru H
4 12 4
Direct
0.625 0.125 0.625 Nb
0.625 0.625 0.625 Nb
0.125 0.625 0.625 Nb
0.625 0.625 0.125 Nb
0.191 0.809 0.809 Ru
0.441 0.059 0.441 Ru
0.191 0.809 0.191 Ru
0.441 0.059 0.059 Ru
0.809 0.809 0.191 Ru
0.059 0.441 0.059 Ru
0.059 0.059 0.441 Ru
0.059 0.441 0.441 Ru
0.809 0.191 0.191 Ru
0.441 0.441 0.059 Ru
0.809 0.191 0.809 Ru
0.191 0.191 0.809 Ru
0.125 0.625 0.125 H
0.125 0.125 0.625 H
0.625 0.125 0.125 H
0.125 0.125 0.125 H
```

Results
- N(E_F): 0.82 states/eV per atom
- Energy above the most stable polymorph in this dataset: 433 meV/atom
- Energy: -0.2932 Ha/atom
- Space-group type: Fd-3m, No. 227

# 2
Here is a relaxed structure of NbHRu3 from the Alexandria database. Energies are from PBE.

The structure in POSCAR format:
```
NbHRu3
1.0
16.479 0.000 3.290
0.000 4.787 0.000
-5.215 0.000 2.140
Ru Nb H
12 4 4
Direct
0.394 0.891 0.616 Ru
0.390 0.900 0.093 Ru
0.137 0.913 0.217 Ru
0.606 0.109 0.384 Ru
0.894 0.609 0.116 Ru
0.610 0.100 0.907 Ru
0.863 0.087 0.783 Ru
0.110 0.400 0.407 Ru
0.890 0.600 0.593 Ru
0.363 0.413 0.283 Ru
0.106 0.391 0.884 Ru
0.637 0.587 0.717 Ru
0.851 0.074 0.249 Nb
0.351 0.426 0.749 Nb
0.649 0.574 0.251 Nb
0.149 0.926 0.751 Nb
0.006 0.768 0.129 H
0.494 0.268 0.371 H
0.506 0.732 0.629 H
0.994 0.232 0.871 H
```

Results
- N(E_F): 0.80 states/eV per atom
- Energy above the most stable polymorph in this dataset: 141 meV/atom
- Energy: -0.3039 Ha/atom
- Space-group type: P2_1/c, No. 14

Question: Among the records above, which one has the lowest energy above the most stable polymorph in this dataset?
Answer: number 2